A plane-wave DFT calculation with PBE with a Hubbard U was carried out for crystalline PuMnNiO6 at its relaxed geometry.

Geometry as POSCAR:
```
PuMnNiO6
1.0
5.185 0.000 0.000
-2.593 4.491 0.000
0.000 0.000 8.914
Pu Mn Ni O
2 2 2 12
Direct
0.333 0.667 0.250
0.667 0.333 0.750
0.333 0.667 0.750
0.667 0.333 0.250
0.000 0.000 0.000
0.000 0.000 0.500
0.019 0.353 0.632
0.019 0.666 0.868
0.334 0.353 0.868
0.334 0.981 0.632
0.353 0.019 0.132
0.353 0.334 0.368
0.647 0.666 0.632
0.647 0.981 0.868
0.666 0.019 0.368
0.666 0.647 0.132
0.981 0.334 0.132
0.981 0.647 0.368
```

Calculated values
Electronic total energy (hartree per atom): -0.2834
Fermi-level density of states (states/eV per cell): 12.22
Size of the total moment (μB per atom): 0.333
Space group: P-31c

***

A plane-wave DFT calculation with PBE with a Hubbard U was carried out for crystalline Sr2NiTeO6 at its relaxed geometry.

Geometry as POSCAR:
```
Sr2NiTeO6
1.0
5.684 0.000 0.000
0.000 5.652 0.000
-5.677 0.000 8.002
Sr Ni Te O
4 2 2 12
Direct
0.247 0.020 0.251
0.247 0.480 0.751
0.753 0.520 0.249
0.753 0.980 0.749
0.500 0.000 0.000
0.500 0.500 0.500
0.000 0.000 0.500
0.000 0.500 0.000
0.183 0.233 0.969
0.183 0.267 0.469
0.234 0.716 0.970
0.234 0.784 0.470
0.299 0.008 0.740
0.299 0.492 0.240
0.701 0.508 0.760
0.701 0.992 0.260
0.766 0.216 0.530
0.766 0.284 0.030
0.817 0.733 0.531
0.817 0.767 0.031
```

Calculated values
Electronic total energy (hartree per atom): -0.2140
Fermi-level density of states (states/eV per cell): 0.00
Size of the total moment (μB per atom): 0.196
Space group: P2_1/c